[1]
# meta-GGA SCAN CoRe3F, single point on PBEsol structure
data_CoRe3F
_space_group_name_H-M_alt 'P 1'
_space_group_IT_number 1
_space_group_name_Hall 'P 1'
_cell_length_a 4.067
_cell_length_b 4.067
_cell_length_c 4.067
_cell_angle_alpha 90.00
_cell_angle_beta 90.00
_cell_angle_gamma 90.00
loop_
_atom_site_label
_atom_site_fract_x
_atom_site_fract_y
_atom_site_fract_z
Re1 0.000 0.500 0.000
Re2 0.000 0.000 0.500
Re3 0.500 0.000 0.000
Co1 0.500 0.500 0.500
F1 0.000 0.000 0.000
# M_tot ... 0.4 μB per cell
# Formation energy without anion corrections ... 1.590 eV/atom
# D(E_F) ... 1.124 states/eV/atom



[2]
# meta-GGA SCAN CaLa2Cr, single point on PBEsol structure
data_CaLa2Cr
_space_group_name_H-M_alt 'P 1'
_space_group_IT_number 1
_space_group_name_Hall 'P 1'
_cell_length_a 5.189
_cell_length_b 5.189
_cell_length_c 5.665
_cell_angle_alpha 117.26
_cell_angle_beta 117.26
_cell_angle_gamma 90.00
loop_
_atom_site_label
_atom_site_fract_x
_atom_site_fract_y
_atom_site_fract_z
Cr1 0.250 0.750 0.500
Ca1 0.500 0.500 0.000
La1 0.000 0.000 0.000
La2 0.750 0.250 0.500
# M_tot ... 3.3 μB per cell
# D(E_F) ... 1.051 states/eV/atom
# Energy above the lowest structure with this stoichiometry ... 38.8 kJ/mol of formula units
# DFT formation energy ... 0.2361 eV/atom



[3]
# meta-GGA SCAN AlBiSeCl4, single point on PBEsol structure
data_AlBiSeCl4
_space_group_name_H-M_alt 'P 1'
_space_group_IT_number 1
_space_group_name_Hall 'P 1'
_cell_length_a 10.134
_cell_length_b 10.134
_cell_length_c 10.134
_cell_angle_alpha 108.06
_cell_angle_beta 108.06
_cell_angle_gamma 112.32
loop_
_atom_site_label
_atom_site_fract_x
_atom_site_fract_y
_atom_site_fract_z
Al1 0.281 0.010 0.878
Al2 0.597 0.719 0.730
Al3 0.133 0.403 0.122
Al4 0.990 0.867 0.270
Bi1 0.472 0.194 0.403
Bi2 0.791 0.069 0.597
Bi3 0.931 0.528 0.722
Bi4 0.806 0.209 0.278
Se1 0.676 0.268 0.706
Se2 0.732 0.438 0.409
Se3 0.562 0.971 0.294
Se4 0.029 0.324 0.591
Cl1 0.231 0.922 0.418
Cl2 0.504 0.813 0.582
Cl3 0.909 0.170 0.950
Cl4 0.543 0.162 0.985
Cl5 0.345 0.392 0.215
Cl6 0.221 0.959 0.050
Cl7 0.041 0.091 0.262
Cl8 0.187 0.769 0.691
Cl9 0.608 0.823 0.953
Cl10 0.443 0.457 0.619
Cl11 0.177 0.130 0.785
Cl12 0.830 0.779 0.738
Cl13 0.176 0.557 0.015
Cl14 0.078 0.496 0.309
Cl15 0.870 0.655 0.047
Cl16 0.838 0.824 0.381
# M_tot ... 0.0 μB per cell
# Formation energy without anion corrections ... -1.259 eV/atom
# D(E_F) ... 0.000 states/eV/atom



[4]
# meta-GGA SCAN BeHS2, single point on PBEsol structure
data_BeHS2
_space_group_name_H-M_alt 'P 1'
_space_group_IT_number 1
_space_group_name_Hall 'P 1'
_cell_length_a 4.694
_cell_length_b 4.694
_cell_length_c 5.599
_cell_angle_alpha 114.78
_cell_angle_beta 114.78
_cell_angle_gamma 90.00
loop_
_atom_site_label
_atom_site_fract_x
_atom_site_fract_y
_atom_site_fract_z
Be1 0.250 0.750 0.500
Be2 0.000 0.000 0.000
S1 0.396 0.875 0.250
S2 0.854 0.375 0.250
S3 0.125 0.146 0.750
S4 0.625 0.604 0.750
H1 0.750 0.250 0.500
H2 0.500 0.500 0.000
# M_tot ... 0.0 μB per cell
# D(E_F) ... 0.490 states/eV/atom
# Energy above the lowest structure with this stoichiometry ... 0.0 kJ/mol of formula units